(1)
First-principles (PBE) data for a geometry-optimized Nd6TlGa2 structure, as listed in Alexandria.

The structure belongs to space group Immm (No. 71); the cell edges are 10.0278, 10.1005 and 10.8840 Å and the angles 90.00°, 90.00° and 90.00°. Symmetry generates all atoms from Nd at (0.0000, 0.2031, 0.2407), Nd at (0.2060, 0.5000, 0.1774), Nd at (0.2202, 0.3173, 0.5000), Tl at (0.0000, 0.0000, 0.0000), Tl at (0.0000, 0.0000, 0.5000), Ga at (0.0000, 0.3579, 0.0000) and Ga at (0.0000, 0.5000, 0.3801).

The calculation puts the magnetic moment at 0.0 μB/cell.



(2)
First-principles (PBE) data for a geometry-optimized Nd6TlGa2 structure, as listed in Alexandria.

The structure belongs to space group P2_1/c (No. 14); the cell edges are 6.6201, 8.6170 and 11.1362 Å and the angles 90.00°, 119.14° and 90.00°. Symmetry generates all atoms from Nd at (0.0577, 0.0530, 0.2143), Nd at (0.1660, 0.6987, 0.0687), Nd at (0.4191, 0.1480, 0.0625), Tl at (0.5000, 0.0000, 0.5000) and Ga at (0.3098, 0.1248, 0.7402).

The calculation puts the magnetic moment at 0.0 μB/cell.



Most favorable first, least favorable last: (1), (2)